A plane-wave DFT calculation with PBE-GGA was carried out for ZrSc3Ag after structural relaxation.

POSCAR file:
```
ZrSc3Ag
1.0
5.136 0.000 0.000
0.000 5.136 0.000
0.000 0.000 5.136
Zr Sc Ag
1 3 1
Cartesian
0.000 0.000 0.000
0.000 0.000 2.568
0.000 2.568 0.000
2.568 0.000 0.000
2.568 2.568 2.568
```

Summary:
- DFT total energy: -26.5 eV/cell
- N(E_F): 0.86 states/eV/atom
- Formation energy: 781 meV per atom
- Calculated volume: 135.5 Å³/f.u.
- ΔE to the lowest computed polymorph: 3.94 eV/f.u.
- SG: Pm-3m